[1]
The following is a DFT calculation (GGA-PBEsol) of a relaxed CaTcP2 crystal.

Cell lengths 3.6541, 3.6541, 6.4447 Å; angles 73.53, 73.53, 60.00 degrees
Last column: nearest neighbours and their distance in Å.
Fractional coordinates of all 4 atoms:
1 Ca 0.0000 0.0000 0.0000  6 P 2.81
2 P 0.2321 0.2321 0.3038  3 Tc 2.42
3 P 0.7679 0.7679 0.6962  3 Tc 2.42
4 Tc 0.5000 0.5000 0.5000  6 P 2.42

Properties
As for the magnetization: 0.0 μB/f.u. The value obtained for the final energy is -6.831 eV per atom. The value obtained for the density of states at the Fermi level is 0.603 states/eV/atom. The formation energy comes out at -0.59 eV per atom. As for the crystal system: trigonal.



[2]
The following is a DFT calculation (GGA-PBEsol) of a relaxed MoRuPt3 crystal.

Cell lengths 4.6773, 4.6773, 4.6773 Å; angles 90.00, 90.00, 90.00 degrees
Last column: nearest neighbours and their distance in Å.
Fractional coordinates of all 5 atoms:
1 Ru 0.5000 0.5000 0.5000  12 Pt 3.31
2 Mo 0.0000 0.0000 0.0000  6 Pt 2.34
3 Pt 0.0000 0.5000 0.0000  2 Mo 2.34
4 Pt 0.0000 0.0000 0.5000  2 Mo 2.34
5 Pt 0.5000 0.0000 0.0000  2 Mo 2.34

Properties
As for the magnetization: 2.1 μB/f.u. The value obtained for the final energy is -6.776 eV per atom. The value obtained for the density of states at the Fermi level is 1.224 states/eV/atom. The formation energy comes out at 1.79 eV per atom. As for the crystal system: cubic.



[3]
The following is a DFT calculation (GGA-PBEsol) of a relaxed Sr2ScRh crystal.

Cell lengths 3.6448, 3.6448, 10.5500 Å; angles 80.05, 80.05, 60.00 degrees
Last column: nearest neighbours and their distance in Å.
Fractional coordinates of all 4 atoms:
1 Rh 0.5000 0.5000 0.5000  6 Sr 2.90
2 Sc 0.0000 0.0000 0.0000  6 Sc 3.64, 6 Sr 3.80
3 Sr 0.2311 0.2311 0.3066  3 Rh 2.90
4 Sr 0.7689 0.7689 0.6934  3 Rh 2.90

Properties
As for the magnetization: 1.0 μB/f.u. The value obtained for the final energy is -4.279 eV per atom. The value obtained for the density of states at the Fermi level is 1.374 states/eV/atom. The formation energy comes out at 0.33 eV per atom. As for the crystal system: trigonal.



[4]
The following is a DFT calculation (GGA-PBEsol) of a relaxed Y10Si6B crystal.

Cell lengths 6.3039, 8.4376, 8.4376 Å; angles 120.00, 90.00, 90.00 degrees
Last column: nearest neighbours and their distance in Å.
Fractional coordinates of all 17 atoms:
1 Y 0.5000 0.6667 0.3333  6 Si 3.02, 2 Y 3.15
2 Y 0.5000 0.3333 0.6667  6 Si 3.02, 2 Y 3.15
3 Y 0.0000 0.3333 0.6667  6 Si 3.04, 2 Y 3.15
4 Y 0.0000 0.6667 0.3333  6 Si 3.04, 2 Y 3.15
5 Y 0.7358 0.0000 0.7558  1 B 2.54
6 Y 0.7358 0.7558 0.0000  1 B 2.54
7 Y 0.7358 0.2442 0.2442  1 B 2.54
8 Y 0.2642 0.0000 0.2442  1 B 2.54
9 Y 0.2642 0.2442 0.0000  1 B 2.54
10 Y 0.2642 0.7558 0.7558  1 B 2.54
11 Si 0.7477 0.0000 0.3956  7 Y 2.92-3.04
12 Si 0.7477 0.3956 0.0000  7 Y 2.92-3.04
13 Si 0.7477 0.6044 0.6044  7 Y 2.92-3.04
14 Si 0.2523 0.0000 0.6044  7 Y 2.92-3.04
15 Si 0.2523 0.6044 0.0000  7 Y 2.92-3.04
16 Si 0.2523 0.3956 0.3956  7 Y 2.92-3.04
17 B 0.5000 0.0000 0.0000  6 Y 2.54

Properties
As for the magnetization: 0.0 μB/f.u. The value obtained for the final energy is -7.150 eV per atom. The value obtained for the density of states at the Fermi level is 0.632 states/eV/atom. The calculation puts the formation energy without anion corrections at -1142 kJ/mol of formula units. As for the crystal system: trigonal.



[5]
The following is a DFT calculation (GGA-PBEsol) of a relaxed Tl2FeCoP crystal.

Cell lengths 4.1101, 5.1457, 5.1457 Å; angles 90.00, 90.00, 90.00 degrees
Last column: nearest neighbours and their distance in Å.
Fractional coordinates of all 5 atoms:
1 P 0.0000 0.0000 0.0000  2 Fe 2.06
2 Tl 0.0000 0.0000 0.5000  2 P 2.57
3 Tl 0.0000 0.5000 0.0000  2 P 2.57
4 Co 0.5000 0.5000 0.5000  8 Tl 3.29, 4 Fe 3.64
5 Fe 0.5000 0.0000 0.0000  2 P 2.06

Properties
As for the magnetization: 3.8 μB/f.u. The value obtained for the final energy is -4.478 eV per atom. The value obtained for the density of states at the Fermi level is 1.454 states/eV/atom. The formation energy comes out at 1.07 eV per atom. As for the crystal system: tetragonal.



[6]
The following is a DFT calculation (GGA-PBEsol) of a relaxed Rb4P3Pd3S12 crystal.

Cell lengths 11.9497, 11.9497, 11.9497 Å; angles 90.00, 90.00, 90.00 degrees
Last column: nearest neighbours and their distance in Å.
Fractional coordinates of all 44 atoms:
1 Rb 0.7500 0.2500 0.7500  6 S 3.53
2 Rb 0.2500 0.7500 0.2500  6 S 3.53
3 Rb 0.7500 0.7500 0.2500  6 S 3.53
4 Rb 0.2500 0.2500 0.7500  6 S 3.53
5 Rb 0.2500 0.7500 0.7500  6 S 3.53
6 Rb 0.7500 0.2500 0.2500  6 S 3.53
7 Rb 0.2500 0.2500 0.2500  6 S 3.53
8 Rb 0.7500 0.7500 0.7500  6 S 3.53
9 P 0.0000 0.5000 0.7500  4 S 2.04
10 P 0.5000 0.2500 0.0000  4 S 2.04
11 P 0.7500 0.0000 0.5000  4 S 2.04
12 P 0.0000 0.5000 0.2500  4 S 2.04
13 P 0.5000 0.7500 0.0000  4 S 2.04
14 P 0.2500 0.0000 0.5000  4 S 2.04
15 Pd 0.0000 0.5000 0.5000  4 S 2.35
16 Pd 0.5000 0.5000 0.0000  4 S 2.35
17 Pd 0.5000 0.0000 0.5000  4 S 2.35
18 Pd 0.5000 0.0000 0.0000  4 S 2.35
19 Pd 0.0000 0.5000 0.0000  4 S 2.35
20 Pd 0.0000 0.0000 0.5000  4 S 2.35
21 S 0.0000 0.3660 0.6437  1 P 2.04
22 S 0.6340 0.3563 0.0000  1 P 2.04
23 S 0.6437 0.0000 0.6340  1 P 2.04
24 S 0.0000 0.6340 0.3563  1 P 2.04
25 S 0.3660 0.6437 0.0000  1 P 2.04
26 S 0.3563 0.0000 0.3660  1 P 2.04
27 S 0.6340 0.6437 0.0000  1 P 2.04
28 S 0.6437 0.0000 0.3660  1 P 2.04
29 S 0.3660 0.3563 0.0000  1 P 2.04
30 S 0.3563 0.0000 0.6340  1 P 2.04
31 S 0.0000 0.6340 0.6437  1 P 2.04
32 S 0.0000 0.3660 0.3563  1 P 2.04
33 S 0.5000 0.1437 0.8660  1 P 2.04
34 S 0.1340 0.5000 0.8563  1 P 2.04
35 S 0.1437 0.1340 0.5000  1 P 2.04
36 S 0.5000 0.8563 0.1340  1 P 2.04
37 S 0.8660 0.5000 0.1437  1 P 2.04
38 S 0.8563 0.8660 0.5000  1 P 2.04
39 S 0.1340 0.5000 0.1437  1 P 2.04
40 S 0.1437 0.8660 0.5000  1 P 2.04
41 S 0.8660 0.5000 0.8563  1 P 2.04
42 S 0.8563 0.1340 0.5000  1 P 2.04
43 S 0.5000 0.1437 0.1340  1 P 2.04
44 S 0.5000 0.8563 0.8660  1 P 2.04

Properties
As for the magnetization: 1.0 μB/f.u. The value obtained for the final energy is -4.804 eV per atom. The value obtained for the density of states at the Fermi level is 0.411 states/eV/atom. The calculation puts the formation energy without anion corrections at -1324 kJ/mol of formula units. As for the crystal system: cubic.



[7]
The following is a DFT calculation (GGA-PBEsol) of a relaxed ScMoRu crystal.

Cell lengths 4.2539, 4.2539, 4.2539 Å; angles 60.00, 60.00, 60.00 degrees
Last column: nearest neighbours and their distance in Å.
Fractional coordinates of all 3 atoms:
1 Mo 0.0000 0.0000 0.0000  4 Sc 2.61
2 Ru 0.5000 0.5000 0.5000  4 Sc 2.61
3 Sc 0.7500 0.7500 0.7500  4 Mo 2.61, 4 Ru 2.61

Properties
As for the magnetization: 1.8 μB/f.u. The value obtained for the final energy is -8.303 eV per atom. The value obtained for the density of states at the Fermi level is 1.142 states/eV/atom. The formation energy comes out at 1.21 eV per atom. As for the crystal system: cubic.



[8]
The following is a DFT calculation (GGA-PBEsol) of a relaxed ZnGeSe2N crystal.

Cell lengths 3.6945, 5.0280, 5.0280 Å; angles 90.00, 90.00, 90.00 degrees
Last column: nearest neighbours and their distance in Å.
Fractional coordinates of all 5 atoms:
1 Ge 0.5000 0.5000 0.5000  8 Se 3.12
2 Zn 0.0000 0.0000 0.0000  2 N 1.85
3 Se 0.0000 0.0000 0.5000  2 Zn 2.51
4 Se 0.0000 0.5000 0.0000  2 Zn 2.51
5 N 0.5000 0.0000 0.0000  2 Zn 1.85

Properties
As for the magnetization: 1.7 μB/f.u. The value obtained for the final energy is -3.805 eV per atom. The value obtained for the density of states at the Fermi level is 0.734 states/eV/atom. The calculation puts the formation energy without anion corrections at 359 kJ/mol of formula units. As for the crystal system: tetragonal.



[9]
The following is a DFT calculation (GGA-PBEsol) of a relaxed TiBr2Cl2 crystal.

Cell lengths 3.4264, 3.4264, 10.3585 Å; angles 99.52, 99.52, 90.00 degrees
Last column: nearest neighbours and their distance in Å.
Fractional coordinates of all 5 atoms:
1 Cl 0.2500 0.7500 0.5000  4 Cl 2.42
2 Cl 0.7500 0.2500 0.5000  4 Cl 2.42
3 Br 0.4227 0.4227 0.8454  4 Ti 2.88, 1 Br 3.11
4 Br 0.5773 0.5773 0.1546  4 Ti 2.88, 1 Br 3.11
5 Ti 0.0000 0.0000 0.0000  8 Br 2.88

Properties
As for the magnetization: 0.6 μB/f.u. The value obtained for the final energy is -3.526 eV per atom. The value obtained for the density of states at the Fermi level is 0.343 states/eV/atom. The calculation puts the formation energy without anion corrections at -150 kJ/mol of formula units. As for the crystal system: tetragonal.



[10]
The following is a DFT calculation (GGA-PBEsol) of a relaxed Zr3Al crystal.

Cell lengths 5.0095, 6.1192, 6.1192 Å; angles 120.00, 90.00, 90.00 degrees
Last column: nearest neighbours and their distance in Å.
Fractional coordinates of all 8 atoms:
1 Al 0.7500 0.6667 0.3333  12 Zr 3.04-3.06
2 Al 0.2500 0.3333 0.6667  12 Zr 3.04-3.06
3 Zr 0.7500 0.1714 0.8286  8 Zr 2.97-3.15, 4 Al 3.04-3.06
4 Zr 0.7500 0.6572 0.8286  8 Zr 2.97-3.15, 4 Al 3.04-3.06
5 Zr 0.7500 0.1714 0.3428  8 Zr 2.97-3.15, 4 Al 3.04-3.06
6 Zr 0.2500 0.8286 0.1714  8 Zr 2.97-3.15, 4 Al 3.04-3.06
7 Zr 0.2500 0.3428 0.1714  8 Zr 2.97-3.15, 4 Al 3.04-3.06
8 Zr 0.2500 0.8286 0.6572  8 Zr 2.97-3.15, 4 Al 3.04-3.06

Properties
As for the magnetization: 0.0 μB/f.u. The value obtained for the final energy is -8.133 eV per atom. The value obtained for the density of states at the Fermi level is 0.860 states/eV/atom. The formation energy comes out at -0.29 eV per atom. As for the crystal system: hexagonal.



[11]
The following is a DFT calculation (GGA-PBEsol) of a relaxed In4P6Pb2O23 crystal.

Cell lengths 6.6088, 8.2755, 8.9747 Å; angles 99.98, 103.99, 104.04 degrees
Last column: nearest neighbours and their distance in Å.
Fractional coordinates of all 35 atoms:
1 In 0.9675 0.7908 0.0496  5 O 2.10-2.18
2 In 0.0232 0.2119 0.9476  5 O 2.09-2.22
3 In 0.7782 0.1767 0.4256  6 O 2.11-2.25
4 In 0.2249 0.8205 0.5742  6 O 2.09-2.24
5 P 0.9896 0.5113 0.7397  4 O 1.54-1.56
6 P 0.0139 0.4890 0.2593  4 O 1.53-1.56
7 P 0.5203 0.8575 0.0911  4 O 1.51-1.58
8 P 0.4890 0.1480 0.9124  4 O 1.52-1.58
9 P 0.7832 0.8942 0.6600  4 O 1.53-1.59
10 P 0.2180 0.1053 0.3424  4 O 1.53-1.58
11 Pb 0.4618 0.5060 0.7264  5 O 2.42-2.68
12 Pb 0.5400 0.4883 0.2691  5 O 2.42-2.68
13 O 0.1027 0.3874 0.8111  1 P 1.55
14 O 0.9022 0.6145 0.1904  1 P 1.54
15 O 0.8161 0.4186 0.5799  1 P 1.54
16 O 0.1877 0.5790 0.4192  1 P 1.53
17 O 0.2847 0.7711 0.0749  1 P 1.51
18 O 0.7097 0.2550 0.9101  1 P 1.52
19 O 0.9204 0.9472 0.8424  1 P 1.59
20 O 0.0728 0.0545 0.1631  1 P 1.58
21 O 0.6139 0.7306 0.0004  1 P 1.55
22 O 0.3814 0.2597 0.0061  1 P 1.55
23 O 0.5525 0.7776 0.6458  1 P 1.56
24 O 0.4490 0.2199 0.3533  1 P 1.56
25 O 0.8656 0.5930 0.8424  1 P 1.55
26 O 0.1374 0.4103 0.1540  1 P 1.55
27 O 0.1872 0.6523 0.7304  1 P 1.56
28 O 0.8178 0.3448 0.2669  1 P 1.56
29 O 0.7656 0.0627 0.6169  1 P 1.53
30 O 0.2381 0.9376 0.3863  1 P 1.53
31 O 0.6669 0.9317 0.2614  1 P 1.52
32 O 0.3293 0.0554 0.7499  1 P 1.52
33 O 0.8873 0.7931 0.5570  1 P 1.53
34 O 0.1190 0.2079 0.4494  1 P 1.54
35 O 0.5430 0.0126 0.0085  2 P 1.58

Properties
As for the magnetization: 0.0 μB/f.u. The value obtained for the final energy is -7.029 eV per atom. The value obtained for the density of states at the Fermi level is 0.000 states/eV/atom. The calculation puts the formation energy without anion corrections at -6813 kJ/mol of formula units. As for the crystal system: triclinic.



[12]
The following is a DFT calculation (GGA-PBEsol) of a relaxed Ca2SiIr2 crystal.

Cell lengths 5.6132, 5.6132, 7.2645 Å; angles 80.89, 80.89, 61.87 degrees
Last column: nearest neighbours and their distance in Å.
Fractional coordinates of all 10 atoms:
1 Ca 0.7228 0.9858 0.1390  6 Ir 2.97-3.09, 1 Si 3.06
2 Ca 0.0142 0.2772 0.3610  6 Ir 2.97-3.09, 1 Si 3.06
3 Ca 0.2772 0.0142 0.8610  6 Ir 2.97-3.09, 1 Si 3.06
4 Ca 0.9858 0.7228 0.6390  6 Ir 2.97-3.09, 1 Si 3.06
5 Ir 0.7759 0.4902 0.9899  2 Si 2.39-2.41, 1 Ir 2.60
6 Ir 0.5098 0.2241 0.5101  2 Si 2.39-2.41, 1 Ir 2.60
7 Ir 0.2241 0.5098 0.0101  2 Si 2.39-2.41, 1 Ir 2.60
8 Ir 0.4902 0.7759 0.4899  2 Si 2.39-2.41, 1 Ir 2.60
9 Si 0.5672 0.4328 0.7500  4 Ir 2.39-2.41
10 Si 0.4328 0.5672 0.2500  4 Ir 2.39-2.41

Properties
As for the magnetization: 0.0 μB/f.u. The value obtained for the final energy is -6.644 eV per atom. The value obtained for the density of states at the Fermi level is 0.247 states/eV/atom. The calculation puts the formation energy without anion corrections at -343 kJ/mol of formula units. As for the crystal system: monoclinic.